The following is a DFT calculation (PBE with a Hubbard U) of a geometry-optimized KCoOs2O8 structure.

Results
DOS at the Fermi energy: 0.314 states/eV per atom
symmetry: C2/m, No. 12
theoretical density: 5.666 g/cm³
electronic total energy: -6.7539 eV/atom
crystal system: monoclinic

Unit cell a=5.242 b=5.242 c=7.199 alpha=106.47 beta=106.47 gamma=73.99
Element x y z (fractional)
K: 0.000 0.000 0.000
Co: 0.000 0.000 0.500
Os: 0.445 0.445 0.757
Os: 0.555 0.555 0.243
O: 0.223 0.714 0.286
O: 0.242 0.242 0.548
O: 0.286 0.777 0.714
O: 0.348 0.348 0.949
O: 0.652 0.652 0.051
O: 0.714 0.223 0.286
O: 0.758 0.758 0.452
O: 0.777 0.286 0.714